No. 1
Ni2Mo: single point on PBEsol structure, meta-GGA SCAN.

a b c (Å): 5.259 3.479 7.817
angles (deg): 90.00 90.00 90.00
Atoms (fractional coordinates):
Ni  0.119  0.250  0.084
Ni  0.131  0.250  0.749
Ni  0.369  0.750  0.249
Ni  0.381  0.750  0.584
Ni  0.619  0.250  0.416
Ni  0.631  0.250  0.751
Ni  0.869  0.750  0.251
Ni  0.881  0.750  0.916
Mo  0.131  0.250  0.415
Mo  0.369  0.750  0.915
Mo  0.631  0.250  0.085
Mo  0.869  0.750  0.585

Volume, Å³/cell: 143.0
Crystal system: orthorhombic
Size of the total moment, μB/cell: 0.00
ΔE_f, meV/atom: 47
D(E_F), states/eV per cell: 12.6
Relative energy among the computed polymorphs, meV per atom: 85.7



No. 2
Ni3Mo4: single point on PBEsol structure, meta-GGA SCAN.

a b c (Å): 4.701 4.701 4.765
angles (deg): 90.00 90.00 120.00
Atoms (fractional coordinates):
Ni  0.000  0.500  0.000
Ni  0.500  0.000  0.000
Ni  0.500  0.500  0.000
Mo  0.000  0.000  0.259
Mo  0.000  0.000  0.741
Mo  0.333  0.667  0.500
Mo  0.667  0.333  0.500

Volume, Å³/cell: 91.2
Crystal system: hexagonal
Size of the total moment, μB/cell: 0.00
ΔE_f, meV/atom: 42
D(E_F), states/eV per cell: 7.3



> Among the records above, which one has the highest D(E_F)?

Ni2Mo